(1)
SrTaRh2 meta-GGA SCAN single point on PBEsol structure; Fermi-level density of states = 3.17 states/eV/f.u.; calculated formation energy = 28 kJ/mol of formula units; density = 10.99 g cm⁻³; distance to the lowest polymorph of the same formula = 0.500 eV per atom; volume = 17.9 A^3/atom; SG = Fm-3m (225)
1.0
-3.598 2.882 0.702
-4.368 -1.579 -0.416
-2.674 -0.488 3.789
Rh Ta Sr
2 1 1
direct
0.750 0.750 0.750 Rh
0.250 0.250 0.250 Rh
0.500 0.500 0.500 Ta
0.000 0.000 0.000 Sr

(2)
SrTaRh2 meta-GGA SCAN single point on PBEsol structure; Fermi-level density of states = 3.07 states/eV/f.u.; calculated formation energy = -165 kJ/mol of formula units; density = 10.36 g cm⁻³; distance to the lowest polymorph of the same formula = 0.000 eV per atom; volume = 19.0 A^3/atom; SG = P4/mmm (123)
1.0
3.171 0.000 0.000
0.000 3.171 0.000
0.000 0.000 7.565
Sr Ta Rh
1 1 2
direct
0.500 0.500 0.000 Sr
0.500 0.500 0.500 Ta
0.000 0.000 0.690 Rh
0.000 0.000 0.310 Rh